{
  "formula": "Os2AuSeCl",
  "functional": "GGA-PBE",
  "state": "optimized geometry",
  "lattice_angstrom": [[5.114, 0.000, 0.000], [0.000, 5.114, 0.000], [0.000, 0.000, 4.720]],
  "species": ["Os", "Os", "Au", "Se", "Cl"],
  "frac_coords": [[0.000, 0.500, 0.000], [0.500, 0.000, 0.000], [0.000, 0.000, 0.000], [0.500, 0.500, 0.500], [0.000, 0.000, 0.500]],
  "dos_ef_per_ev_atom": 1.319,
  "space_group": "P4/mmm",
  "total_energy_ev_per_atom": -3.92,
  "raw_formation_energy_ev_per_atom": 2.297
}

{
  "formula": "Mg2CrP",
  "functional": "GGA-PBE",
  "state": "optimized geometry",
  "lattice_angstrom": [[2.899, -2.903, 0.000], [2.899, 2.903, 0.000], [0.000, 0.000, 3.984]],
  "species": ["Mg", "Mg", "Cr", "P"],
  "frac_coords": [[0.000, 0.500, 0.000], [0.500, 0.000, 0.000], [0.000, 0.000, 0.500], [0.500, 0.500, 0.500]],
  "formation_energy_ev_per_atom": 0.023,
  "dos_ef_per_ev_atom": 0.523,
  "space_group": "Cmmm",
  "total_energy_ev_per_atom": -4.53
}

{
  "formula": "OsRhAu2",
  "functional": "GGA-PBE",
  "state": "optimized geometry",
  "lattice_angstrom": [[4.030, 0.000, 0.000], [0.000, 4.030, 0.000], [0.000, 0.000, 3.932]],
  "species": ["Os", "Rh", "Au", "Au"],
  "frac_coords": [[0.000, 0.000, 0.000], [0.500, 0.500, 0.000], [0.000, 0.500, 0.500], [0.500, 0.000, 0.500]],
  "relative_energy_mev_per_atom": 383,
  "formation_energy_ev_per_atom": 0.597,
  "dos_ef_per_ev_atom": 1.348,
  "space_group": "P4/mmm",
  "total_energy_ev_per_atom": -5.69
}

{
  "formula": "CaPr4Al4",
  "functional": "GGA-PBE",
  "state": "optimized geometry",
  "lattice_angstrom": [[9.062, 0.000, 0.000], [0.000, 9.062, 0.000], [0.000, 0.000, 6.053]],
  "species": ["Ca", "Ca", "Pr", "Pr", "Pr", "Pr", "Pr", "Pr", "Pr", "Pr", "Al", "Al", "Al", "Al", "Al", "Al", "Al", "Al"],
  "frac_coords": [[0.250, 0.250, 0.250], [0.750, 0.750, 0.750], [0.083, 0.827, 0.632], [0.173, 0.583, 0.132], [0.327, 0.917, 0.132], [0.417, 0.673, 0.632], [0.583, 0.327, 0.368], [0.673, 0.083, 0.868], [0.827, 0.417, 0.868], [0.917, 0.173, 0.368], [0.064, 0.159, 0.847], [0.159, 0.436, 0.653], [0.341, 0.064, 0.653], [0.436, 0.341, 0.847], [0.564, 0.659, 0.153], [0.659, 0.936, 0.347], [0.841, 0.564, 0.347], [0.936, 0.841, 0.153]],
  "formation_energy_ev_per_atom": -0.114,
  "dos_ef_per_ev_atom": 0.857,
  "space_group": "P4_2/n",
  "total_energy_ev_per_atom": -4.12
}

{
  "formula": "SrLi2ZnAg4",
  "functional": "GGA-PBE",
  "state": "optimized geometry",
  "lattice_angstrom": [[2.265, 1.308, 9.379], [-2.265, 1.308, 9.379], [0.000, -2.615, 9.379]],
  "species": ["Sr", "Li", "Li", "Zn", "Ag", "Ag", "Ag", "Ag"],
  "frac_coords": [[0.000, 0.000, 0.000], [0.231, 0.231, 0.231], [0.769, 0.769, 0.769], [0.500, 0.500, 0.500], [0.131, 0.131, 0.131], [0.407, 0.407, 0.407], [0.593, 0.593, 0.593], [0.869, 0.869, 0.869]],
  "formation_energy_ev_per_atom": -0.176,
  "dos_ef_per_ev_atom": 0.387,
  "space_group": "R-3m",
  "total_energy_ev_per_atom": -2.45
}

{
  "formula": "TlFe2Tc",
  "functional": "GGA-PBE",
  "state": "optimized geometry",
  "lattice_angstrom": [[2.870, 0.000, 0.000], [0.000, 2.870, 0.000], [0.000, 0.000, 7.472]],
  "species": ["Tl", "Fe", "Fe", "Tc"],
  "frac_coords": [[0.000, 0.000, 0.000], [0.500, 0.500, 0.285], [0.500, 0.500, 0.715], [0.000, 0.000, 0.500]],
  "relative_energy_mev_per_atom": 63,
  "formation_energy_ev_per_atom": 0.479,
  "dos_ef_per_ev_atom": 1.082,
  "space_group": "P4/mmm",
  "total_energy_ev_per_atom": -6.94
}

{
  "formula": "Mo2PtSe",
  "functional": "GGA-PBE",
  "state": "optimized geometry",
  "lattice_angstrom": [[4.865, -1.512, 0.000], [4.865, 1.512, 0.000], [-0.006, 0.000, 4.482]],
  "species": ["Mo", "Mo", "Pt", "Se"],
  "frac_coords": [[0.000, 0.000, 0.000], [0.172, 0.172, 0.500], [0.733, 0.733, 0.001], [0.456, 0.456, 0.500]],
  "dos_ef_per_ev_atom": 0.842,
  "space_group": "Cm",
  "total_energy_ev_per_atom": -7.75,
  "raw_formation_energy_ev_per_atom": 0.046
}

{
  "formula": "Cs2BaHg",
  "functional": "GGA-PBE",
  "state": "optimized geometry",
  "lattice_angstrom": [[0.000, 5.087, 5.087], [5.087, 0.000, 5.087], [5.087, 5.087, 0.000]],
  "species": ["Cs", "Cs", "Ba", "Hg"],
  "frac_coords": [[0.250, 0.250, 0.250], [0.750, 0.750, 0.750], [0.000, 0.000, 0.000], [0.500, 0.500, 0.500]],
  "relative_energy_mev_per_atom": 156,
  "formation_energy_ev_per_atom": 0.164,
  "dos_ef_per_ev_atom": 1.254,
  "space_group": "Fm-3m",
  "total_energy_ev_per_atom": -0.82
}

{
  "formula": "Nb6TcW",
  "functional": "GGA-PBE",
  "state": "optimized geometry",
  "lattice_angstrom": [[-2.297, 2.297, 6.592], [2.297, -2.297, 6.592], [2.297, 2.297, -6.592]],
  "species": ["Nb", "Nb", "Nb", "Nb", "Nb", "Nb", "Tc", "W"],
  "frac_coords": [[0.121, 0.621, 0.500], [0.248, 0.248, 0.000], [0.379, 0.879, 0.500], [0.621, 0.121, 0.500], [0.752, 0.752, 0.000], [0.879, 0.379, 0.500], [0.500, 0.500, 0.000], [0.000, 0.000, 0.000]],
  "relative_energy_mev_per_atom": 0,
  "formation_energy_ev_per_atom": -0.124,
  "dos_ef_per_ev_atom": 0.822,
  "space_group": "I4/mmm",
  "total_energy_ev_per_atom": -10.59
}

{
  "formula": "Dy2Ho3Th3",
  "functional": "GGA-PBE",
  "state": "optimized geometry",
  "lattice_angstrom": [[-2.499, 2.515, 10.091], [2.499, -2.515, 10.091], [2.499, 2.515, -10.091]],
  "species": ["Dy", "Dy", "Ho", "Ho", "Ho", "Th", "Th", "Th"],
  "frac_coords": [[0.250, 0.250, 0.000], [0.750, 0.750, 0.000], [0.000, 0.000, 0.000], [0.125, 0.625, 0.500], [0.875, 0.375, 0.500], [0.376, 0.876, 0.500], [0.500, 0.500, 0.000], [0.624, 0.124, 0.500]],
  "relative_energy_mev_per_atom": 3,
  "formation_energy_ev_per_atom": 0.040,
  "dos_ef_per_ev_atom": 1.332,
  "space_group": "Immm",
  "total_energy_ev_per_atom": -5.61
}

{
  "formula": "IrBr2N",
  "functional": "GGA-PBE",
  "state": "optimized geometry",
  "lattice_angstrom": [[-5.003, 5.003, 1.846], [5.003, -5.003, 1.846], [5.003, 5.003, -1.846]],
  "species": ["Ir", "Ir", "Br", "Br", "Br", "Br", "N", "N"],
  "frac_coords": [[0.000, 0.000, 0.000], [0.750, 0.250, 0.500], [0.375, 0.202, 0.327], [0.798, 0.125, 0.173], [0.875, 0.048, 0.673], [0.952, 0.625, 0.827], [0.250, 0.750, 0.500], [0.500, 0.500, 0.000]],
  "relative_energy_mev_per_atom": 0,
  "dos_ef_per_ev_atom": 0.558,
  "space_group": "I-42d",
  "total_energy_ev_per_atom": -4.75,
  "raw_formation_energy_ev_per_atom": 0.384
}

{
  "formula": "TbY8Er6",
  "functional": "GGA-PBE",
  "state": "optimized geometry",
  "lattice_angstrom": [[9.351, 0.000, 0.000], [-4.676, 8.099, 0.000], [0.000, 0.000, 6.565]],
  "species": ["Tb", "Y", "Y", "Y", "Y", "Y", "Y", "Y", "Y", "Er", "Er", "Er", "Er", "Er", "Er"],
  "frac_coords": [[0.000, 0.000, 0.000], [0.027, 0.338, 0.603], [0.310, 0.973, 0.603], [0.333, 0.667, 0.319], [0.338, 0.310, 0.397], [0.662, 0.690, 0.603], [0.667, 0.333, 0.681], [0.690, 0.027, 0.397], [0.973, 0.662, 0.397], [0.087, 0.678, 0.906], [0.322, 0.409, 0.906], [0.409, 0.087, 0.094], [0.591, 0.913, 0.906], [0.678, 0.591, 0.094], [0.913, 0.322, 0.094]],
  "relative_energy_mev_per_atom": 61,
  "formation_energy_ev_per_atom": 0.248,
  "dos_ef_per_ev_atom": 1.545,
  "space_group": "P-3",
  "total_energy_ev_per_atom": -5.33
}

{
  "formula": "LiNiBPt",
  "functional": "GGA-PBE",
  "state": "optimized geometry",
  "lattice_angstrom": [[0.000, 2.722, 2.722], [2.722, 0.000, 2.722], [2.722, 2.722, 0.000]],
  "species": ["Li", "Ni", "B", "Pt"],
  "frac_coords": [[0.000, 0.000, 0.000], [0.250, 0.250, 0.250], [0.500, 0.500, 0.500], [0.750, 0.750, 0.750]],
  "formation_energy_ev_per_atom": -0.164,
  "dos_ef_per_ev_atom": 0.482,
  "space_group": "F-43m",
  "total_energy_ev_per_atom": -5.27
}

{
  "formula": "LaFeSi2",
  "functional": "GGA-PBE",
  "state": "optimized geometry",
  "lattice_angstrom": [[2.048, -8.489, 0.000], [2.048, 8.489, 0.000], [0.000, 0.000, 4.236]],
  "species": ["La", "La", "Fe", "Fe", "Si", "Si", "Si", "Si"],
  "frac_coords": [[0.145, 0.855, 0.000], [0.855, 0.145, 0.000], [0.431, 0.569, 0.500], [0.569, 0.431, 0.500], [0.000, 0.000, 0.500], [0.292, 0.708, 0.500], [0.500, 0.500, 0.000], [0.708, 0.292, 0.500]],
  "dos_ef_per_ev_atom": 0.731,
  "space_group": "Cmmm",
  "total_energy_ev_per_atom": -6.65,
  "raw_formation_energy_ev_per_atom": -0.587
}

{
  "formula": "TlSb4Pb15",
  "functional": "GGA-PBE",
  "state": "optimized geometry",
  "lattice_angstrom": [[5.920, 0.000, 0.000], [0.000, 5.920, 0.000], [0.000, 0.000, 17.717]],
  "species": ["Tl", "Sb", "Sb", "Sb", "Sb", "Pb", "Pb", "Pb", "Pb", "Pb", "Pb", "Pb", "Pb", "Pb", "Pb", "Pb", "Pb", "Pb", "Pb", "Pb"],
  "frac_coords": [[0.000, 0.000, 0.000], [0.000, 0.000, 0.200], [0.000, 0.000, 0.409], [0.000, 0.000, 0.591], [0.000, 0.000, 0.800], [0.000, 0.500, 0.106], [0.000, 0.500, 0.300], [0.000, 0.500, 0.500], [0.000, 0.500, 0.700], [0.000, 0.500, 0.894], [0.500, 0.000, 0.106], [0.500, 0.000, 0.300], [0.500, 0.000, 0.500], [0.500, 0.000, 0.700], [0.500, 0.000, 0.894], [0.500, 0.500, 0.000], [0.500, 0.500, 0.201], [0.500, 0.500, 0.400], [0.500, 0.500, 0.600], [0.500, 0.500, 0.799]],
  "dos_ef_per_ev_atom": 0.560,
  "space_group": "P4/mmm",
  "total_energy_ev_per_atom": -3.68,
  "raw_formation_energy_ev_per_atom": 0.043
}

{
  "formula": "Ce6HPt2",
  "functional": "GGA-PBE",
  "state": "optimized geometry",
  "lattice_angstrom": [[5.978, 0.000, 0.000], [0.000, 7.012, 0.000], [-5.836, 0.000, 10.107]],
  "species": ["Ce", "Ce", "Ce", "Ce", "Ce", "Ce", "Ce", "Ce", "Ce", "Ce", "Ce", "Ce", "H", "H", "Pt", "Pt", "Pt", "Pt"],
  "frac_coords": [[0.067, 0.192, 0.451], [0.067, 0.308, 0.951], [0.260, 0.680, 0.459], [0.260, 0.820, 0.959], [0.416, 0.025, 0.268], [0.416, 0.475, 0.768], [0.584, 0.525, 0.232], [0.584, 0.975, 0.732], [0.740, 0.180, 0.041], [0.740, 0.320, 0.541], [0.933, 0.692, 0.049], [0.933, 0.808, 0.549], [0.500, 0.000, 0.500], [0.500, 0.500, 0.000], [0.160, 0.111, 0.760], [0.160, 0.389, 0.260], [0.840, 0.611, 0.740], [0.840, 0.889, 0.240]],
  "dos_ef_per_ev_atom": 2.558,
  "space_group": "P2_1/c",
  "total_energy_ev_per_atom": -6.19
}

{
  "formula": "Cd2AgOs",
  "functional": "GGA-PBE",
  "state": "optimized geometry",
  "lattice_angstrom": [[5.393, -1.433, 0.000], [5.393, 1.433, 0.000], [-2.095, 0.000, 4.645]],
  "species": ["Cd", "Cd", "Ag", "Os"],
  "frac_coords": [[0.000, 0.000, 0.000], [0.236, 0.236, 0.577], [0.755, 0.755, 0.092], [0.491, 0.491, 0.504]],
  "relative_energy_mev_per_atom": 99,
  "formation_energy_ev_per_atom": 0.444,
  "dos_ef_per_ev_atom": 0.625,
  "space_group": "Cm",
  "total_energy_ev_per_atom": -3.53
}

{
  "formula": "Nd4SmHo4",
  "functional": "GGA-PBE",
  "state": "optimized geometry",
  "lattice_angstrom": [[-5.412, 5.412, 2.546], [5.412, -5.412, 2.546], [5.412, 5.412, -2.546]],
  "species": ["Nd", "Nd", "Nd", "Nd", "Sm", "Ho", "Ho", "Ho", "Ho"],
  "frac_coords": [[0.167, 0.167, 0.335], [0.167, 0.833, 0.000], [0.833, 0.167, 0.000], [0.833, 0.833, 0.665], [0.500, 0.500, 0.000], [0.164, 0.500, 0.664], [0.500, 0.164, 0.664], [0.500, 0.836, 0.336], [0.836, 0.500, 0.336]],
  "formation_energy_ev_per_atom": 0.019,
  "dos_ef_per_ev_atom": 1.502,
  "space_group": "I4/mmm",
  "total_energy_ev_per_atom": -4.66
}

{
  "formula": "Y6ZnTc2",
  "functional": "GGA-PBE",
  "state": "optimized geometry",
  "lattice_angstrom": [[-4.755, 4.798, 5.143], [4.755, -4.798, 5.143], [4.755, 4.798, -5.143]],
  "species": ["Y", "Y", "Y", "Y", "Y", "Y", "Y", "Y", "Y", "Y", "Y", "Y", "Zn", "Zn", "Tc", "Tc", "Tc", "Tc"],
  "frac_coords": [[0.024, 0.818, 0.206], [0.235, 0.531, 0.296], [0.235, 0.939, 0.704], [0.278, 0.314, 0.592], [0.278, 0.686, 0.964], [0.388, 0.182, 0.206], [0.612, 0.818, 0.794], [0.722, 0.314, 0.036], [0.722, 0.686, 0.408], [0.765, 0.061, 0.296], [0.765, 0.469, 0.704], [0.976, 0.182, 0.794], [0.000, 0.500, 0.500], [0.500, 0.000, 0.500], [0.000, 0.131, 0.131], [0.000, 0.869, 0.869], [0.386, 0.386, 0.000], [0.614, 0.614, 0.000]],
  "formation_energy_ev_per_atom": -0.105,
  "dos_ef_per_ev_atom": 1.122,
  "space_group": "Immm",
  "total_energy_ev_per_atom": -6.86
}

{
  "formula": "AcDy3",
  "functional": "GGA-PBE",
  "state": "optimized geometry",
  "lattice_angstrom": [[-2.606, 2.606, 5.088], [2.606, -2.606, 5.088], [2.606, 2.606, -5.088]],
  "species": ["Ac", "Dy", "Dy", "Dy"],
  "frac_coords": [[0.000, 0.000, 0.000], [0.250, 0.750, 0.500], [0.500, 0.500, 0.000], [0.750, 0.250, 0.500]],
  "relative_energy_mev_per_atom": 15,
  "formation_energy_ev_per_atom": 0.064,
  "dos_ef_per_ev_atom": 1.681,
  "space_group": "I4/mmm",
  "total_energy_ev_per_atom": -4.41
}